Material: CoAuSO
Method: DFT, PBE with a Hubbard U
State: relaxed

a = 3.681 Å, b = 6.961 Å, c = 5.214 Å
α = 90.00°, β = 90.00°, γ = 90.00°
Fractional positions:
Au 0.000 0.677 0.629
Au 0.000 0.323 0.129
O 0.500 0.108 0.177
O 0.500 0.892 0.677
S 0.000 0.668 0.143
S 0.000 0.332 0.643
Co 0.500 0.144 0.542
Co 0.500 0.856 0.042

* symmetry: Pmc2_1
* distance to the lowest polymorph of the same formula: 83 meV/atom